The following is a DFT calculation (PBE+U) of a relaxed Li2VO3F crystal.

Unit cell a=5.1941 b=7.7214 c=7.8213 alpha=97.96 beta=102.29 gamma=104.55
Closest atoms and distances in Å follow each position.
Sites, in units of the cell vectors:
1 Li 0.0000 0.0000 0.0000  2 F 1.93-2.04, 2 O 1.97-2.04
2 Li 0.0082 0.4667 0.5390  2 F 1.92-1.98, 2 O 2.00-2.02
3 Li 0.0290 0.1061 0.3722  2 F 2.05-2.24, 4 O 2.06-2.23
4 Li 0.0543 0.2169 0.7372  2 F 1.94-1.95, 3 O 1.98-2.10
5 Li 0.0808 0.8490 0.6487  4 O 1.98-2.06
6 Li 0.5361 0.1102 0.8725  2 F 1.99-2.17, 3 O 2.01-2.15
7 Li 0.9347 0.6070 0.8725  3 O 1.99-2.21, 1 F 2.09
8 Li 0.9725 0.3765 0.1525  2 F 1.96-2.19, 3 O 2.04-2.18
9 V 0.4592 0.8355 0.1028  3 O 1.73-1.77
10 V 0.4772 0.4589 0.0239  3 O 1.71-1.80
11 V 0.5111 0.0169 0.4920  3 O 1.72-1.78
12 V 0.5413 0.6344 0.4288  3 O 1.69-1.84
13 O 0.2236 0.2604 0.0054  1 V 1.72
14 O 0.2529 0.8759 0.9172  1 V 1.73
15 O 0.2557 0.6255 0.1323  1 V 1.77
16 O 0.2970 0.0869 0.6144  1 V 1.75
17 O 0.3133 0.9915 0.2700  1 V 1.78
18 O 0.3224 0.7456 0.5149  1 V 1.77
19 O 0.6652 0.4933 0.2541  2 V 1.80-1.95
20 O 0.6825 0.7343 0.0142  1 V 1.76
21 O 0.7029 0.3829 0.9238  1 V 1.71
22 O 0.7151 0.8515 0.3761  1 V 1.84
23 O 0.7734 0.6190 0.6098  1 V 1.69
24 O 0.7849 0.2045 0.5119  1 V 1.72
25 F 0.2124 0.4816 0.7880  3 Li 1.95-2.09, 1 V 2.11
26 F 0.2266 0.4020 0.3850  2 Li 1.92-1.96, 1 V 2.03
27 F 0.7651 0.0866 0.1297  2 Li 1.93-2.05, 1 V 2.13
28 F 0.7773 0.0025 0.7527  3 Li 1.94-2.04

M_tot in μB per atom: 0.000
Energy above the most stable polymorph in this dataset in meV/atom: 1
N(E_F) in states/eV per atom: 0.0000
Theoretical density in Mg/m³: 3.014
Space-group type: P1 (1)